(1)
Compound: Tm2Cr2In3
Source: the Alexandria database
Functional: PBE
Structure: optimized geometry

- space-group type = P-1 (2)
- crystal system = triclinic
- electronic total energy (eV/atom) = -5.081
- magnetic moment (μB/cell) = 1.06
- ΔH_f (0 K) (eV/atom) = 0.119

Cell lengths 4.781, 5.764, 6.945 Å; angles 65.66, 69.94, 65.61 degrees
Fractional coordinates of all 7 atoms:
1 Tm 0.153 0.476 0.218
2 Tm 0.847 0.524 0.782
3 Cr 0.097 0.960 0.844
4 Cr 0.903 0.040 0.156
5 In 0.367 0.801 0.466
6 In 0.500 0.000 0.000
7 In 0.633 0.199 0.534

---

(2)
Compound: TmCrIn2
Source: the Alexandria database
Functional: PBE
Structure: optimized geometry

- space-group type = P2_1/m (11)
- crystal system = monoclinic
- electronic total energy (eV/atom) = -4.948
- magnetic moment (μB/cell) = 7.08
- ΔH_f (0 K) (eV/atom) = -0.055

Cell lengths 4.595, 7.140, 6.012 Å; angles 90.00, 112.43, 90.00 degrees
Fractional coordinates of all 8 atoms:
1 Tm 0.075 0.250 0.150
2 Tm 0.925 0.750 0.850
3 Cr 0.205 0.750 0.411
4 Cr 0.795 0.250 0.589
5 In 0.369 0.047 0.737
6 In 0.369 0.453 0.737
7 In 0.631 0.547 0.263
8 In 0.631 0.953 0.263

---

(3)
Compound: VCrIn
Source: the Alexandria database
Functional: PBE
Structure: optimized geometry

- space-group type = C2/m (12)
- crystal system = monoclinic
- electronic total energy (eV/atom) = -7.016
- magnetic moment (μB/cell) = 0.00
- ΔH_f (0 K) (eV/atom) = 0.144

Cell lengths 5.193, 5.193, 6.293 Å; angles 106.87, 106.87, 35.04 degrees
Fractional coordinates of all 6 atoms:
1 V 0.195 0.195 0.337
2 V 0.805 0.805 0.663
3 Cr 0.197 0.197 0.850
4 Cr 0.803 0.803 0.150
5 In 0.500 0.500 0.000
6 In 0.500 0.500 0.500

---

(4)
Compound: VCrIn2
Source: the Alexandria database
Functional: PBE
Structure: optimized geometry

- space-group type = I-42d (122)
- crystal system = tetragonal
- electronic total energy (eV/atom) = -5.346
- magnetic moment (μB/cell) = 2.99
- ΔH_f (0 K) (eV/atom) = 0.708

Cell lengths 6.085, 6.085, 6.085 Å; angles 102.84, 102.84, 123.75 degrees
Fractional coordinates of all 8 atoms:
1 V 0.000 0.000 0.000
2 V 0.750 0.250 0.500
3 Cr 0.250 0.750 0.500
4 Cr 0.500 0.500 0.000
5 In 0.128 0.625 0.003
6 In 0.375 0.378 0.503
7 In 0.622 0.125 0.997
8 In 0.875 0.872 0.497

---

(5)
Compound: V3CrIn
Source: the Alexandria database
Functional: PBE
Structure: optimized geometry

- space-group type = Pm-3m (221)
- crystal system = cubic
- electronic total energy (eV/atom) = -7.230
- magnetic moment (μB/cell) = 0.00
- ΔH_f (0 K) (eV/atom) = 0.713

Cell lengths 4.377, 4.377, 4.377 Å; angles 90.00, 90.00, 90.00 degrees
Fractional coordinates of all 5 atoms:
1 V 0.000 0.000 0.500
2 V 0.000 0.500 0.000
3 V 0.500 0.000 0.000
4 Cr 0.000 0.000 0.000
5 In 0.500 0.500 0.500

---

(6)
Compound: VCrIn2
Source: the Alexandria database
Functional: PBE
Structure: optimized geometry

- space-group type = Fm-3m (225)
- crystal system = cubic
- electronic total energy (eV/atom) = -5.682
- magnetic moment (μB/cell) = 6.10
- ΔH_f (0 K) (eV/atom) = 0.373

Cell lengths 4.727, 4.727, 4.727 Å; angles 60.00, 60.00, 60.00 degrees
Fractional coordinates of all 4 atoms:
1 V 0.000 0.000 0.000
2 Cr 0.500 0.500 0.500
3 In 0.250 0.250 0.250
4 In 0.750 0.750 0.750

---

(7)
Compound: V2Cr2In
Source: the Alexandria database
Functional: PBE
Structure: optimized geometry

- space-group type = P4/mbm (127)
- crystal system = tetragonal
- electronic total energy (eV/atom) = -7.689
- magnetic moment (μB/cell) = 4.86
- ΔH_f (0 K) (eV/atom) = 0.356

Cell lengths 7.046, 7.046, 3.021 Å; angles 90.00, 90.00, 90.00 degrees
Fractional coordinates of all 10 atoms:
1 V 0.154 0.346 0.000
2 V 0.346 0.846 0.000
3 V 0.654 0.154 0.000
4 V 0.846 0.654 0.000
5 Cr 0.135 0.635 0.500
6 Cr 0.365 0.135 0.500
7 Cr 0.635 0.865 0.500
8 Cr 0.865 0.365 0.500
9 In 0.000 0.000 0.500
10 In 0.500 0.500 0.500

---

(8)
Compound: VCrIn
Source: the Alexandria database
Functional: PBE
Structure: optimized geometry

- space-group type = Cm (8)
- crystal system = monoclinic
- electronic total energy (eV/atom) = -6.899
- magnetic moment (μB/cell) = 0.00
- ΔH_f (0 K) (eV/atom) = 0.261

Cell lengths 2.885, 2.885, 6.930 Å; angles 107.61, 107.61, 62.96 degrees
Fractional coordinates of all 3 atoms:
1 V 0.000 0.000 0.000
2 Cr 0.631 0.631 0.264
3 In 0.474 0.474 0.625

---

(9)
Compound: VCrIn
Source: the Alexandria database
Functional: PBE
Structure: optimized geometry

- space-group type = C2/m (12)
- crystal system = monoclinic
- electronic total energy (eV/atom) = -7.016
- magnetic moment (μB/cell) = 0.00
- ΔH_f (0 K) (eV/atom) = 0.144

Cell lengths 5.239, 5.239, 6.308 Å; angles 108.37, 108.37, 34.63 degrees
Fractional coordinates of all 6 atoms:
1 V 0.193 0.193 0.109
2 V 0.807 0.807 0.891
3 Cr 0.198 0.198 0.598
4 Cr 0.802 0.802 0.402
5 In 0.497 0.497 0.254
6 In 0.503 0.503 0.746

---

(10)
Compound: VCrIn
Source: the Alexandria database
Functional: PBE
Structure: optimized geometry

- space-group type = P-1 (2)
- crystal system = triclinic
- electronic total energy (eV/atom) = -7.021
- magnetic moment (μB/cell) = 0.00
- ΔH_f (0 K) (eV/atom) = 0.139

Cell lengths 2.967, 2.981, 11.339 Å; angles 97.53, 95.83, 90.04 degrees
Fractional coordinates of all 6 atoms:
1 V 0.083 0.161 0.315
2 V 0.917 0.839 0.685
3 Cr 0.282 0.281 0.563
4 Cr 0.718 0.719 0.437
5 In 0.482 0.430 0.866
6 In 0.518 0.570 0.134

---

(11)
Compound: V3CrIn
Source: the Alexandria database
Functional: PBE
Structure: optimized geometry

- space-group type = Pm-3m (221)
- crystal system = cubic
- electronic total energy (eV/atom) = -5.562
- magnetic moment (μB/cell) = 2.50
- ΔH_f (0 K) (eV/atom) = 2.382

Cell lengths 4.744, 4.744, 4.744 Å; angles 90.00, 90.00, 90.00 degrees
Fractional coordinates of all 5 atoms:
1 V 0.000 0.000 0.500
2 V 0.000 0.500 0.000
3 V 0.500 0.000 0.000
4 Cr 0.500 0.500 0.500
5 In 0.000 0.000 0.000

---

(12)
Compound: VCr3In
Source: the Alexandria database
Functional: PBE
Structure: optimized geometry

- space-group type = Pm-3m (221)
- crystal system = cubic
- electronic total energy (eV/atom) = -6.199
- magnetic moment (μB/cell) = 16.36
- ΔH_f (0 K) (eV/atom) = 1.947

Cell lengths 5.074, 5.074, 5.074 Å; angles 90.00, 90.00, 90.00 degrees
Fractional coordinates of all 5 atoms:
1 V 0.000 0.000 0.000
2 Cr 0.000 0.500 0.500
3 Cr 0.500 0.000 0.500
4 Cr 0.500 0.500 0.000
5 In 0.500 0.500 0.500

---

(13)
Compound: VCrIn
Source: the Alexandria database
Functional: PBE
Structure: optimized geometry

- space-group type = P-1 (2)
- crystal system = triclinic
- electronic total energy (eV/atom) = -6.966
- magnetic moment (μB/cell) = 0.00
- ΔH_f (0 K) (eV/atom) = 0.194

Cell lengths 3.022, 5.199, 6.832 Å; angles 112.34, 90.47, 106.19 degrees
Fractional coordinates of all 6 atoms:
1 V 0.003 0.493 0.291
2 V 0.997 0.507 0.709
3 Cr 0.344 0.198 0.462
4 Cr 0.656 0.802 0.538
5 In 0.337 0.167 0.885
6 In 0.663 0.833 0.115

---

(14)
Compound: VCrIn
Source: the Alexandria database
Functional: PBE
Structure: optimized geometry

- space-group type = P2_1/m (11)
- crystal system = monoclinic
- electronic total energy (eV/atom) = -6.951
- magnetic moment (μB/cell) = 0.00
- ΔH_f (0 K) (eV/atom) = 0.209

Cell lengths 2.877, 3.920, 8.805 Å; angles 90.00, 93.44, 90.00 degrees
Fractional coordinates of all 6 atoms:
1 V 0.075 0.250 0.185
2 V 0.925 0.750 0.815
3 Cr 0.301 0.250 0.945
4 Cr 0.699 0.750 0.055
5 In 0.398 0.250 0.627
6 In 0.602 0.750 0.373

---

(15)
Compound: VCrIn
Source: the Alexandria database
Functional: PBE
Structure: optimized geometry

- space-group type = Fmm2 (42)
- crystal system = orthorhombic
- electronic total energy (eV/atom) = -6.887
- magnetic moment (μB/cell) = 0.00
- ΔH_f (0 K) (eV/atom) = 0.273

Cell lengths 13.161, 2.837, 13.051 Å; angles 86.01, 12.42, 81.58 degrees
Fractional coordinates of all 6 atoms:
1 V 0.149 0.851 0.149
2 V 0.851 0.149 0.851
3 Cr 0.283 0.714 0.286
4 Cr 0.714 0.283 0.717
5 In 0.537 0.652 0.348
6 In 0.652 0.537 0.463

---

(16)
Compound: VCrIn
Source: the Alexandria database
Functional: PBE
Structure: optimized geometry

- space-group type = C2/m (12)
- crystal system = monoclinic
- electronic total energy (eV/atom) = -7.015
- magnetic moment (μB/cell) = 0.00
- ΔH_f (0 K) (eV/atom) = 0.145

Cell lengths 11.072, 11.072, 2.952 Å; angles 91.08, 91.08, 15.68 degrees
Fractional coordinates of all 6 atoms:
1 V 0.156 0.156 0.326
2 V 0.844 0.844 0.674
3 Cr 0.282 0.282 0.248
4 Cr 0.718 0.718 0.752
5 In 0.435 0.435 0.197
6 In 0.565 0.565 0.803

---

(17)
Compound: VCrIn
Source: the Alexandria database
Functional: PBE
Structure: optimized geometry

- space-group type = P-1 (2)
- crystal system = triclinic
- electronic total energy (eV/atom) = -6.967
- magnetic moment (μB/cell) = 0.00
- ΔH_f (0 K) (eV/atom) = 0.193

Cell lengths 2.881, 3.698, 9.910 Å; angles 79.35, 83.93, 90.00 degrees
Fractional coordinates of all 6 atoms:
1 V 0.117 0.336 0.326
2 V 0.883 0.664 0.674
3 Cr 0.304 0.224 0.553
4 Cr 0.696 0.776 0.447
5 In 0.312 0.074 0.855
6 In 0.688 0.926 0.145

---

(18)
Compound: VCrIn
Source: the Alexandria database
Functional: PBE
Structure: optimized geometry

- space-group type = Cmmm (65)
- crystal system = orthorhombic
- electronic total energy (eV/atom) = -7.009
- magnetic moment (μB/cell) = 0.00
- ΔH_f (0 K) (eV/atom) = 0.151

Cell lengths 5.211, 5.211, 4.427 Å; angles 90.00, 90.00, 129.59 degrees
Fractional coordinates of all 6 atoms:
1 V 0.193 0.807 0.000
2 V 0.807 0.193 0.000
3 Cr 0.303 0.697 0.500
4 Cr 0.697 0.303 0.500
5 In 0.000 0.000 0.500
6 In 0.500 0.500 0.000

---

(19)
Compound: VCr3In
Source: the Alexandria database
Functional: PBE
Structure: optimized geometry

- space-group type = Pm-3m (221)
- crystal system = cubic
- electronic total energy (eV/atom) = -7.071
- magnetic moment (μB/cell) = 6.68
- ΔH_f (0 K) (eV/atom) = 1.075

Cell lengths 4.464, 4.464, 4.464 Å; angles 90.00, 90.00, 90.00 degrees
Fractional coordinates of all 5 atoms:
1 V 0.000 0.000 0.000
2 Cr 0.000 0.000 0.500
3 Cr 0.000 0.500 0.000
4 Cr 0.500 0.000 0.000
5 In 0.500 0.500 0.500

---

(20)
Compound: VCrIn
Source: the Alexandria database
Functional: PBE
Structure: optimized geometry

- space-group type = Cmcm (63)
- crystal system = orthorhombic
- electronic total energy (eV/atom) = -7.015
- magnetic moment (μB/cell) = 0.00
- ΔH_f (0 K) (eV/atom) = 0.146

Cell lengths 5.192, 5.192, 4.440 Å; angles 90.00, 90.00, 129.40 degrees
Fractional coordinates of all 6 atoms:
1 V 0.056 0.944 0.750
2 V 0.944 0.056 0.250
3 Cr 0.446 0.554 0.750
4 Cr 0.554 0.446 0.250
5 In 0.250 0.750 0.250
6 In 0.750 0.250 0.750

---

(21)
Compound: CrIn2W
Source: the Alexandria database
Functional: PBE
Structure: optimized geometry

- space-group type = P4mm (99)
- crystal system = tetragonal
- electronic total energy (eV/atom) = -6.625
- magnetic moment (μB/cell) = 0.02
- ΔH_f (0 K) (eV/atom) = 0.389

Cell lengths 3.080, 3.080, 7.981 Å; angles 90.00, 90.00, 90.00 degrees
Fractional coordinates of all 4 atoms:
1 Cr 0.000 0.000 0.000
2 In 0.000 0.000 0.580
3 In 0.500 0.500 0.234
4 W 0.500 0.500 0.841

---

(22)
Compound: Cr2InW
Source: the Alexandria database
Functional: PBE
Structure: optimized geometry

- space-group type = F-43m (216)
- crystal system = cubic
- electronic total energy (eV/atom) = -8.155
- magnetic moment (μB/cell) = 2.56
- ΔH_f (0 K) (eV/atom) = 0.580

Cell lengths 4.470, 4.470, 4.470 Å; angles 60.00, 60.00, 60.00 degrees
Fractional coordinates of all 4 atoms:
1 Cr 0.000 0.000 0.000
2 Cr 0.250 0.250 0.250
3 In 0.500 0.500 0.500
4 W 0.750 0.750 0.750

---

(23)
Compound: CrIn2W
Source: the Alexandria database
Functional: PBE
Structure: optimized geometry

- space-group type = Pm (6)
- crystal system = monoclinic
- electronic total energy (eV/atom) = -6.682
- magnetic moment (μB/cell) = 0.35
- ΔH_f (0 K) (eV/atom) = 0.332

Cell lengths 3.115, 3.073, 8.082 Å; angles 90.00, 100.63, 90.00 degrees
Fractional coordinates of all 4 atoms:
1 Cr 0.000 0.000 0.000
2 In 0.217 0.000 0.417
3 In 0.391 0.500 0.764
4 W 0.597 0.500 0.157

---

(24)
Compound: CrIn2W
Source: the Alexandria database
Functional: PBE
Structure: optimized geometry

- space-group type = C2/m (12)
- crystal system = monoclinic
- electronic total energy (eV/atom) = -6.399
- magnetic moment (μB/cell) = 2.78
- ΔH_f (0 K) (eV/atom) = 0.615

Cell lengths 5.018, 5.018, 5.285 Å; angles 99.78, 99.78, 34.44 degrees
Fractional coordinates of all 4 atoms:
1 Cr 0.000 0.000 0.000
2 In 0.250 0.250 0.750
3 In 0.750 0.750 0.250
4 W 0.500 0.500 0.500

---

(25)
Compound: Cr2InW
Source: the Alexandria database
Functional: PBE
Structure: optimized geometry

- space-group type = I-42d (122)
- crystal system = tetragonal
- electronic total energy (eV/atom) = -7.682
- magnetic moment (μB/cell) = 0.00
- ΔH_f (0 K) (eV/atom) = 1.053

Cell lengths 5.686, 5.686, 5.686 Å; angles 103.26, 103.26, 122.77 degrees
Fractional coordinates of all 8 atoms:
1 Cr 0.082 0.125 0.457
2 Cr 0.375 0.918 0.043
3 Cr 0.668 0.625 0.543
4 Cr 0.875 0.332 0.957
5 In 0.250 0.750 0.500
6 In 0.500 0.500 0.000
7 W 0.000 0.000 0.000
8 W 0.750 0.250 0.500